# 1
BaAlZn2Pt: relaxed, PBE.

POSCAR file:
```
BaAlZn2Pt
1.0
-4.1689 2.4458 1.1830
-1.9507 -4.2027 1.8148
1.8325 1.0239 4.3409
Zn Ba Pt Al
2 1 1 1
Cartesian
-0.9754 -2.1014 0.9074 Zn
-2.0844 1.2229 0.5915 Zn
-2.1435 -0.3665 3.6693 Ba
0.0000 0.0000 0.0000 Pt
0.9163 0.5119 2.1704 Al
```

**V**: 119 Å³/cell
**SG**: P4/mmm (123)
**Formation energy**: -2.35 eV per formula unit
**Crystal system**: tetragonal


# 2
Sc4CoSb: relaxed, PBE.

POSCAR file:
```
Sc4CoSb
1.0
-5.6288 -0.7887 -0.3161
-3.4873 3.0004 3.3529
-3.3196 4.0456 -2.2404
Sc Co Sb
4 1 1
Cartesian
-7.4708 1.9587 0.1420 Sc
-6.3226 4.3624 -0.8148 Sc
-6.4060 3.8427 1.9664 Sc
-4.6720 2.3509 0.2992 Sc
-9.3268 4.6930 0.5973 Co
0.0000 0.0000 0.0000 Sb
```

**V**: 130 Å³/cell
**Offset from the most stable computed form**: 846 meV/atom
**SG**: F-43m (216)
**Crystal system**: cubic
**Formation energy without anion corrections**: 0.35 eV per atom


# 3
CrIrCl2: relaxed, PBE.

POSCAR file:
```
CrIrCl2
1.0
6.7292 0.1692 -0.0188
4.3079 5.1723 0.0188
-5.2774 -3.1691 2.7235
Cr Ir Cl
1 1 2
Cartesian
3.4852 -0.1646 1.3523 Cr
2.2746 2.3370 1.3712 Ir
1.2764 0.6177 0.0000 Cl
4.2422 2.0530 0.0000 Cl
```

**V**: 93 Å³/cell
**Offset from the most stable computed form**: 399 meV/atom
**SG**: Immm (71)
**Crystal system**: orthorhombic
**Formation energy without anion corrections**: 0.22 eV per atom


Number 1: magnetization 0.0000 μB/atom. Number 2: magnetization 0.2230 μB/atom. Number 3: magnetization 1.2358 μB/atom.